#w
A plane-wave DFT calculation with PBE-GGA was carried out for a relaxed Fe5Cl crystal.

Values from the calculation:
The density of states at the Fermi level is 1.11 states/eV/atom.

a = 4.964 Å, b = 4.964 Å, c = 4.170 Å
α = 90.00°, β = 90.00°, γ = 120.00°
Element x y z (fractional)
Fe (0.333, 0.667, 0.000)
Fe (0.667, 0.333, 0.000)
Fe (0.500, 0.000, 0.500)
Fe (0.000, 0.500, 0.500)
Fe (0.500, 0.500, 0.500)
Cl (0.000, 0.000, 0.000)


#x
A plane-wave DFT calculation with PBE-GGA was carried out for a relaxed Fe5Cl crystal.

Values from the calculation:
The density of states at the Fermi level is 0.79 states/eV/atom.

a = 4.806 Å, b = 4.806 Å, c = 6.066 Å
α = 74.09°, β = 74.09°, γ = 35.01°
Element x y z (fractional)
Fe (0.293, 0.293, 0.406)
Fe (0.646, 0.646, 0.710)
Fe (0.629, 0.629, 0.244)
Fe (0.966, 0.966, 0.562)
Fe (0.305, 0.305, 0.885)
Cl (0.993, 0.993, 0.026)


On energetic grounds, #x is preferred over the next structure by 30.5 kJ/mol of atoms.